(1)
This record from Alexandria describes a geometry-optimized Ba2OsPbW structure. The functional is PBE-GGA.

## Properties
Calculated formation energy: 5.1 eV per formula unit

The structure in CIF format:
```
data_Ba2OsPbW
_chemical_formula_sum 'Ba2 Os1 Pb1 W1'
_cell_length_a 6.169
_cell_length_b 6.169
_cell_length_c 4.716
_cell_angle_alpha 90.00
_cell_angle_beta 90.00
_cell_angle_gamma 90.00
_symmetry_space_group_name_H-M 'P 4/m m m'
_symmetry_Int_Tables_number 123
_symmetry_space_group_name_Hall '-P 4 2'
loop_
_atom_site_label
_atom_site_fract_x
_atom_site_fract_y
_atom_site_fract_z
Ba1 0.000 0.500 0.000
Os1 0.000 0.000 0.500
Pb1 0.500 0.500 0.500
W1 0.000 0.000 0.000
```

---

(2)
This record from Alexandria describes a geometry-optimized Nd2Al3Ni2 structure. The functional is PBE-GGA.

## Properties
Calculated formation energy: -3.7 eV per formula unit

The structure in CIF format:
```
data_Nd2Al3Ni2
_chemical_formula_sum 'Nd4 Al6 Ni4'
_cell_length_a 10.688
_cell_length_b 4.103
_cell_length_c 7.064
_cell_angle_alpha 90.00
_cell_angle_beta 119.28
_cell_angle_gamma 90.00
_symmetry_space_group_name_H-M 'C 1 2/m 1'
_symmetry_Int_Tables_number 12
loop_
_symmetry_equiv_pos_as_xyz
'x,y,z'
'-x,-y,-z'
'-x,y,-z'
'x,-y,z'
'x+1/2,y+1/2,z'
'-x+1/2,-y+1/2,-z'
'-x+1/2,y+1/2,-z'
'x+1/2,-y+1/2,z'
loop_
_atom_site_label
_atom_site_fract_x
_atom_site_fract_y
_atom_site_fract_z
Nd1 0.137 0.000 0.275
Al1 0.000 0.500 0.500
Al2 0.150 0.500 0.935
Ni1 0.132 0.000 0.708
```

---

(3)
This record from Alexandria describes a geometry-optimized Be4HgTe structure. The functional is PBE-GGA.

## Properties
Formation energy without anion corrections: 656 meV per atom

The structure in CIF format:
```
data_Be4HgTe
_chemical_formula_sum 'Be16 Hg4 Te4'
_cell_length_a 7.018
_cell_length_b 7.018
_cell_length_c 7.018
_cell_angle_alpha 90.00
_cell_angle_beta 90.00
_cell_angle_gamma 90.00
_symmetry_space_group_name_H-M 'F -4 3 m'
_symmetry_Int_Tables_number 216
_symmetry_space_group_name_Hall 'F -4 2 3'
loop_
_atom_site_label
_atom_site_fract_x
_atom_site_fract_y
_atom_site_fract_z
Be1 0.125 0.125 0.125
Hg1 0.250 0.250 0.750
Te1 0.000 0.000 0.500
```

---

(4)
This record from Alexandria describes a geometry-optimized KCa2Cd2 structure. The functional is PBE-GGA.

## Properties
Energy above the most stable polymorph in this dataset: 179 meV per atom
Calculated formation energy: 0.1 eV per formula unit

The structure in CIF format:
```
data_KCa2Cd2
_chemical_formula_sum 'K2 Ca4 Cd4'
_cell_length_a 4.277
_cell_length_b 4.277
_cell_length_c 22.678
_cell_angle_alpha 90.00
_cell_angle_beta 90.00
_cell_angle_gamma 90.00
_symmetry_space_group_name_H-M 'I 4/m m m'
_symmetry_Int_Tables_number 139
_symmetry_space_group_name_Hall '-I 4 2'
loop_
_atom_site_label
_atom_site_fract_x
_atom_site_fract_y
_atom_site_fract_z
K1 0.000 0.000 0.000
Ca1 0.000 0.000 0.361
Cd1 0.000 0.500 0.250
```

---

(5)
This record from Alexandria describes a geometry-optimized ReNiBrN2 structure. The functional is PBE-GGA.

## Properties
Formation energy without anion corrections: 1839 meV per atom

The structure in CIF format:
```
data_ReNiBrN2
_chemical_formula_sum 'Re1 Ni1 Br1 N2'
_cell_length_a 3.707
_cell_length_b 3.707
_cell_length_c 5.367
_cell_angle_alpha 90.00
_cell_angle_beta 90.00
_cell_angle_gamma 90.00
_symmetry_space_group_name_H-M 'P 4/m m m'
_symmetry_Int_Tables_number 123
_symmetry_space_group_name_Hall '-P 4 2'
loop_
_atom_site_label
_atom_site_fract_x
_atom_site_fract_y
_atom_site_fract_z
Re1 0.000 0.000 0.000
Ni1 0.000 0.000 0.500
Br1 0.500 0.500 0.000
N1 0.000 0.500 0.500
```

---

(6)
This record from Alexandria describes a geometry-optimized Th2SnOsC structure. The functional is PBE-GGA.

## Properties
Calculated formation energy: -1.7 eV per formula unit

The structure in CIF format:
```
data_Th2SnOsC
_chemical_formula_sum 'Th4 Sn2 Os2 C2'
_cell_length_a 7.176
_cell_length_b 4.038
_cell_length_c 8.674
_cell_angle_alpha 90.00
_cell_angle_beta 112.70
_cell_angle_gamma 90.00
_symmetry_space_group_name_H-M 'P 1 21/m 1'
_symmetry_Int_Tables_number 11
loop_
_symmetry_equiv_pos_as_xyz
'x,y,z'
'-x,-y,-z'
'-x,y+1/2,-z'
'x,-y+1/2,z'
loop_
_atom_site_label
_atom_site_fract_x
_atom_site_fract_y
_atom_site_fract_z
Th1 0.147 0.250 0.387
Th2 0.237 0.750 0.021
Sn1 0.440 0.750 0.697
Os1 0.207 0.250 0.740
C1 0.007 0.750 0.167
```

---

(7)
This record from Alexandria describes a geometry-optimized NdSm3Dy12 structure. The functional is PBE-GGA.

## Properties
Calculated formation energy: 0.3 eV per formula unit

The structure in CIF format:
```
data_NdSm3Dy12
_chemical_formula_sum 'Nd1 Sm3 Dy12'
_cell_length_a 5.042
_cell_length_b 5.042
_cell_length_c 20.174
_cell_angle_alpha 90.00
_cell_angle_beta 90.00
_cell_angle_gamma 90.00
_symmetry_space_group_name_H-M 'P 4/m m m'
_symmetry_Int_Tables_number 123
_symmetry_space_group_name_Hall '-P 4 2'
loop_
_atom_site_label
_atom_site_fract_x
_atom_site_fract_y
_atom_site_fract_z
Nd1 0.000 0.000 0.000
Sm1 0.000 0.000 0.250
Sm2 0.000 0.000 0.500
Dy1 0.000 0.500 0.126
Dy2 0.000 0.500 0.375
Dy3 0.500 0.500 0.000
Dy4 0.500 0.500 0.251
Dy5 0.500 0.500 0.500
```

---

(8)
This record from Alexandria describes a geometry-optimized Sc2UTaC4 structure. The functional is PBE-GGA.

## Properties
Calculated formation energy: -4.1 eV per formula unit

The structure in CIF format:
```
data_Sc2UTaC4
_chemical_formula_sum 'Sc2 U1 Ta1 C4'
_cell_length_a 5.703
_cell_length_b 3.326
_cell_length_c 5.794
_cell_angle_alpha 90.00
_cell_angle_beta 109.20
_cell_angle_gamma 90.00
_symmetry_space_group_name_H-M 'P 1 2/m 1'
_symmetry_Int_Tables_number 10
loop_
_symmetry_equiv_pos_as_xyz
'x,y,z'
'-x,-y,-z'
'-x,y,-z'
'x,-y,z'
loop_
_atom_site_label
_atom_site_fract_x
_atom_site_fract_y
_atom_site_fract_z
Sc1 0.000 0.000 0.000
Sc2 0.000 0.500 0.500
U1 0.500 0.000 0.500
Ta1 0.500 0.500 0.000
C1 0.266 0.500 0.244
C2 0.268 0.000 0.759
```

---

(9)
This record from Alexandria describes a geometry-optimized PuMg5 structure. The functional is PBE-GGA.

## Properties
Calculated formation energy: 0.3 eV per formula unit

The structure in CIF format:
```
data_PuMg5
_chemical_formula_sum 'Pu1 Mg5'
_cell_length_a 3.182
_cell_length_b 3.182
_cell_length_c 14.078
_cell_angle_alpha 90.00
_cell_angle_beta 90.00
_cell_angle_gamma 90.00
_symmetry_space_group_name_H-M 'P 4/m m m'
_symmetry_Int_Tables_number 123
_symmetry_space_group_name_Hall '-P 4 2'
loop_
_atom_site_label
_atom_site_fract_x
_atom_site_fract_y
_atom_site_fract_z
Pu1 0.000 0.000 0.000
Mg1 0.000 0.000 0.342
Mg2 0.500 0.500 0.180
Mg3 0.500 0.500 0.500
```

---

(10)
This record from Alexandria describes a geometry-optimized SrBe2Sb structure. The functional is PBE-GGA.

## Properties
Formation energy without anion corrections: 330 meV per atom

The structure in CIF format:
```
data_SrBe2Sb
_chemical_formula_sum 'Sr2 Be4 Sb2'
_cell_length_a 6.411
_cell_length_b 7.385
_cell_length_c 4.143
_cell_angle_alpha 90.00
_cell_angle_beta 90.58
_cell_angle_gamma 90.00
_symmetry_space_group_name_H-M 'C 1 2/m 1'
_symmetry_Int_Tables_number 12
loop_
_symmetry_equiv_pos_as_xyz
'x,y,z'
'-x,-y,-z'
'-x,y,-z'
'x,-y,z'
'x+1/2,y+1/2,z'
'-x+1/2,-y+1/2,-z'
'-x+1/2,y+1/2,-z'
'x+1/2,-y+1/2,z'
loop_
_atom_site_label
_atom_site_fract_x
_atom_site_fract_y
_atom_site_fract_z
Sr1 0.000 0.000 0.000
Be1 0.000 0.328 0.500
Sb1 0.000 0.500 0.000
```

---

(11)
This record from Alexandria describes a geometry-optimized RbPdSCl2 structure. The functional is PBE-GGA.

## Properties
Formation energy without anion corrections: -729 meV per atom
Energy above the most stable polymorph in this dataset: 0 meV per atom

The structure in CIF format:
```
data_RbPdSCl2
_chemical_formula_sum 'Rb1 Pd1 S1 Cl2'
_cell_length_a 5.185
_cell_length_b 5.185
_cell_length_c 4.655
_cell_angle_alpha 90.00
_cell_angle_beta 90.00
_cell_angle_gamma 90.00
_symmetry_space_group_name_H-M 'P 4/m m m'
_symmetry_Int_Tables_number 123
_symmetry_space_group_name_Hall '-P 4 2'
loop_
_atom_site_label
_atom_site_fract_x
_atom_site_fract_y
_atom_site_fract_z
Rb1 0.000 0.000 0.000
Pd1 0.500 0.500 0.500
S1 0.500 0.500 0.000
Cl1 0.000 0.500 0.500
```

---

(12)
This record from Alexandria describes a geometry-optimized BaSnIO2 structure. The functional is PBE-GGA.

## Properties
Formation energy without anion corrections: -1781 meV per atom
Energy above the most stable polymorph in this dataset: 0 meV per atom

The structure in CIF format:
```
data_BaSnIO2
_chemical_formula_sum 'Ba4 Sn4 I4 O8'
_cell_length_a 6.129
_cell_length_b 14.581
_cell_length_c 5.880
_cell_angle_alpha 90.00
_cell_angle_beta 90.00
_cell_angle_gamma 90.00
_symmetry_space_group_name_H-M 'C m c m'
_symmetry_Int_Tables_number 63
_symmetry_space_group_name_Hall '-C 2c 2'
loop_
_atom_site_label
_atom_site_fract_x
_atom_site_fract_y
_atom_site_fract_z
Ba1 0.000 0.107 0.250
Sn1 0.000 0.448 0.250
I1 0.000 0.254 0.750
O1 0.218 0.500 0.000
```

---

Computed DOS(E_F) (states/eV/f.u.) in order:
6.78; 5.08; 1.86; 4.33; 3.13; 3.72; 21.71; 2.93; 7.43; 1.65; 2.69; 0.84
Computed energy (eV for the cell shown) in order:
-26.7; -72.1; -57.7; -13.6; -27.4; -82.0; -73.9; -76.8; -22.0; -23.9; -17.6; -105.2